{
  "formula": "BeAlGa2Rh",
  "functional": "SCAN",
  "state": "single point on PBEsol structure",
  "e_form_mev_per_atom": 470,
  "e_tot_ev_per_atom": -15.244,
  "cell": [[4.157, 0.000, 0.000], [0.000, 4.157, 0.000], [0.000, 0.000, 4.303]],
  "species": ["Be", "Al", "Ga", "Ga", "Rh"],
  "frac_coords": [[0.000, 0.000, 0.000], [0.000, 0.000, 0.500], [0.000, 0.500, 0.000], [0.500, 0.000, 0.000], [0.500, 0.500, 0.500]]
}


{
  "formula": "BeAlH5",
  "functional": "SCAN",
  "state": "single point on PBEsol structure",
  "e_tot_ev_per_atom": -4.277,
  "cell": [[2.883, -3.526, 0.000], [2.883, 3.526, 0.000], [-2.661, 0.000, 5.543]],
  "species": ["Be", "Be", "Al", "Al", "H", "H", "H", "H", "H", "H", "H", "H", "H", "H"],
  "frac_coords": [[0.175, 0.825, 0.750], [0.825, 0.175, 0.250], [0.500, 0.500, 0.000], [0.500, 0.500, 0.500], [0.130, 0.237, 0.428], [0.163, 0.593, 0.867], [0.237, 0.130, 0.928], [0.397, 0.603, 0.250], [0.407, 0.837, 0.633], [0.593, 0.163, 0.367], [0.603, 0.397, 0.750], [0.763, 0.870, 0.072], [0.837, 0.407, 0.133], [0.870, 0.763, 0.572]]
}


{
  "formula": "Be2AlH",
  "functional": "SCAN",
  "state": "single point on PBEsol structure",
  "e_above_lowest_polymorph_ev_per_fu": 0.00,
  "e_tot_ev_per_atom": -4.595,
  "cell": [[-2.076, 2.076, 4.639], [2.076, -2.076, 4.639], [2.076, 2.076, -4.639]],
  "species": ["Be", "Be", "Be", "Be", "Al", "Al", "H", "H"],
  "frac_coords": [[0.000, 0.000, 0.000], [0.000, 0.000, 0.500], [0.000, 0.500, 0.000], [0.500, 0.000, 0.500], [0.375, 0.625, 0.750], [0.625, 0.375, 0.250], [0.125, 0.875, 0.250], [0.875, 0.125, 0.750]]
}


Repeat the second record exactly.
{
  "formula": "BeAlH5",
  "functional": "SCAN",
  "state": "single point on PBEsol structure",
  "e_tot_ev_per_atom": -4.277,
  "cell": [[2.883, -3.526, 0.000], [2.883, 3.526, 0.000], [-2.661, 0.000, 5.543]],
  "species": ["Be", "Be", "Al", "Al", "H", "H", "H", "H", "H", "H", "H", "H", "H", "H"],
  "frac_coords": [[0.175, 0.825, 0.750], [0.825, 0.175, 0.250], [0.500, 0.500, 0.000], [0.500, 0.500, 0.500], [0.130, 0.237, 0.428], [0.163, 0.593, 0.867], [0.237, 0.130, 0.928], [0.397, 0.603, 0.250], [0.407, 0.837, 0.633], [0.593, 0.163, 0.367], [0.603, 0.397, 0.750], [0.763, 0.870, 0.072], [0.837, 0.407, 0.133], [0.870, 0.763, 0.572]]
}